1.
The following is a GGA-PBE calculation of crystalline Nb2S3N at its relaxed geometry, from Alexandria.

- Uncorrected formation energy: -5.3 eV per formula unit
- M_tot: 0.000 μB/atom

Geometry as POSCAR:
```
Nb2S3N
1.0
7.293 -1.729 0.000
7.293 1.729 0.000
-4.981 0.000 8.401
Nb S N
4 6 2
direct
0.088 0.088 0.452 Nb
0.351 0.351 0.201 Nb
0.649 0.649 0.799 Nb
0.912 0.912 0.548 Nb
0.157 0.157 0.004 S
0.273 0.273 0.384 S
0.458 0.458 0.759 S
0.542 0.542 0.241 S
0.727 0.727 0.616 S
0.843 0.843 0.996 S
0.080 0.080 0.663 N
0.920 0.920 0.337 N
```



2.
The following is a GGA-PBE calculation of crystalline SrYRe2 at its relaxed geometry, from Alexandria.

- E_form: 56.2 kJ/mol of atoms
- M_tot: 0.000 μB/atom

Geometry as POSCAR:
```
SrYRe2
1.0
10.447 0.000 0.000
0.000 3.872 0.000
-2.603 0.000 5.735
Sr Y Re
2 2 4
direct
0.000 0.000 0.000 Sr
0.500 0.500 0.000 Sr
0.000 0.500 0.500 Y
0.500 0.000 0.500 Y
0.248 0.500 0.387 Re
0.252 0.000 0.613 Re
0.748 0.000 0.387 Re
0.752 0.500 0.613 Re
```



3.
The following is a GGA-PBE calculation of crystalline Pu2TcGe3 at its relaxed geometry, from Alexandria.

- E_form: -27.9 kJ/mol of atoms
- M_tot: 0.019 μB/atom

Geometry as POSCAR:
```
Pu2TcGe3
1.0
10.159 0.000 0.000
0.000 4.430 0.000
-4.283 0.000 5.305
Pu Tc Ge
4 2 6
direct
0.000 0.000 0.000 Pu
0.112 0.000 0.604 Pu
0.500 0.500 0.000 Pu
0.612 0.500 0.604 Pu
0.381 0.000 0.592 Tc
0.881 0.500 0.592 Tc
0.191 0.500 0.966 Ge
0.231 0.500 0.406 Ge
0.380 0.000 0.198 Ge
0.691 0.000 0.966 Ge
0.731 0.000 0.406 Ge
0.880 0.500 0.198 Ge
```



4.
The following is a GGA-PBE calculation of crystalline BiTePd2Pb at its relaxed geometry, from Alexandria.

- Uncorrected formation energy: 1.4 eV per formula unit
- M_tot: 0.000 μB/atom

Geometry as POSCAR:
```
BiTePd2Pb
1.0
4.996 0.000 0.000
0.000 4.996 0.000
0.000 0.000 6.058
Bi Te Pd Pb
1 1 2 1
direct
0.000 0.000 0.000 Bi
0.000 0.000 0.500 Te
0.000 0.500 0.500 Pd
0.500 0.000 0.500 Pd
0.500 0.500 0.000 Pb
```



Repeat the fourth record exactly.
The following is a GGA-PBE calculation of crystalline BiTePd2Pb at its relaxed geometry, from Alexandria.

- Uncorrected formation energy: 1.4 eV per formula unit
- M_tot: 0.000 μB/atom

Geometry as POSCAR:
```
BiTePd2Pb
1.0
4.996 0.000 0.000
0.000 4.996 0.000
0.000 0.000 6.058
Bi Te Pd Pb
1 1 2 1
direct
0.000 0.000 0.000 Bi
0.000 0.000 0.500 Te
0.000 0.500 0.500 Pd
0.500 0.000 0.500 Pd
0.500 0.500 0.000 Pb
```



Which value of M_tot does entry 2 give?
0.000 μB/atom